# 1
# PBE Rb2VCu2, optimized geometry
# energy of formation from the pure elements	0.893	eV per atom
# density of states at the Fermi level	6.0	states/eV/f.u.
# energy above the lowest structure with this stoichiometry	0	meV per atom
data_Rb2VCu2
_chemical_formula_sum 'Rb4 V2 Cu4'
_cell_length_a 3.479
_cell_length_b 3.479
_cell_length_c 23.796
_cell_angle_alpha 90.00
_cell_angle_beta 90.00
_cell_angle_gamma 90.00
_symmetry_space_group_name_H-M 'I 4/m m m'
_symmetry_Int_Tables_number 139
_symmetry_space_group_name_Hall '-I 4 2'
loop_
_atom_site_label
_atom_site_type_symbol
_atom_site_fract_x
_atom_site_fract_y
_atom_site_fract_z
Rb1 Rb 0.000 0.000 0.125
V1 V 0.000 0.000 0.500
Cu1 Cu 0.000 0.500 0.250

---

# 2
# PBE BeZnSn, optimized geometry
# energy of formation from the pure elements	0.217	eV per atom
# density of states at the Fermi level	0.7	states/eV/f.u.
data_BeZnSn
_chemical_formula_sum 'Be2 Zn2 Sn2'
_cell_length_a 3.868
_cell_length_b 5.501
_cell_length_c 6.266
_cell_angle_alpha 115.70
_cell_angle_beta 107.97
_cell_angle_gamma 90.22
_symmetry_space_group_name_H-M 'P 1'
_symmetry_Int_Tables_number 1
_symmetry_space_group_name_Hall 'P 1'
loop_
_atom_site_label
_atom_site_type_symbol
_atom_site_fract_x
_atom_site_fract_y
_atom_site_fract_z
Be1 Be 0.000 0.000 0.000
Be2 Be 0.407 0.052 0.815
Zn1 Zn 0.214 0.067 0.429
Zn2 Zn 0.619 0.202 0.237
Sn1 Sn 0.762 0.744 0.529
Sn2 Sn 0.940 0.432 0.875

---

# 3
# PBE Pr4InPt, optimized geometry
# energy of formation from the pure elements	-0.434	eV per atom
# density of states at the Fermi level	7.6	states/eV/f.u.
# energy above the lowest structure with this stoichiometry	146	meV per atom
data_Pr4InPt
_chemical_formula_sum 'Pr16 In4 Pt4'
_cell_length_a 5.633
_cell_length_b 21.161
_cell_length_c 6.641
_cell_angle_alpha 90.00
_cell_angle_beta 90.00
_cell_angle_gamma 90.00
_symmetry_space_group_name_H-M 'C m c m'
_symmetry_Int_Tables_number 63
_symmetry_space_group_name_Hall '-C 2c 2'
loop_
_atom_site_label
_atom_site_type_symbol
_atom_site_fract_x
_atom_site_fract_y
_atom_site_fract_z
Pr1 Pr 0.000 0.052 0.250
Pr2 Pr 0.000 0.200 0.005
Pr3 Pr 0.000 0.400 0.250
In1 In 0.000 0.346 0.750
Pt1 Pt 0.000 0.082 0.750

---

# 4
# PBE SbPC, optimized geometry
# density of states at the Fermi level	0.4	states/eV/f.u.
# energy above the lowest structure with this stoichiometry	136	meV per atom
# formation energy without anion corrections	0.5045	eV/atom
data_SbPC
_chemical_formula_sum 'Sb1 P1 C1'
_cell_length_a 3.044
_cell_length_b 3.045
_cell_length_c 6.439
_cell_angle_alpha 89.86
_cell_angle_beta 89.79
_cell_angle_gamma 60.00
_symmetry_space_group_name_H-M 'P 1'
_symmetry_Int_Tables_number 1
_symmetry_space_group_name_Hall 'P 1'
loop_
_atom_site_label
_atom_site_type_symbol
_atom_site_fract_x
_atom_site_fract_y
_atom_site_fract_z
Sb1 Sb 0.000 0.000 0.000
P1 P 0.329 0.333 0.478
C1 C 0.996 0.000 0.356

---

# 5
# PBE Y4Zn2S, optimized geometry
# density of states at the Fermi level	7.8	states/eV/f.u.
# formation energy without anion corrections	-0.7621	eV/atom
data_Y4Zn2S
_chemical_formula_sum 'Y8 Zn4 S2'
_cell_length_a 12.605
_cell_length_b 3.914
_cell_length_c 8.626
_cell_angle_alpha 90.00
_cell_angle_beta 125.13
_cell_angle_gamma 90.00
_symmetry_space_group_name_H-M 'C 1 2/m 1'
_symmetry_Int_Tables_number 12
_symmetry_space_group_name_Hall '-C 2y'
loop_
_atom_site_label
_atom_site_type_symbol
_atom_site_fract_x
_atom_site_fract_y
_atom_site_fract_z
Y1 Y 0.092 0.000 0.376
Y2 Y 0.173 0.500 0.084
Zn1 Zn 0.114 0.500 0.671
S1 S 0.000 0.000 0.000

---

# 6
# PBE SrZnTc, optimized geometry
# energy of formation from the pure elements	0.039	eV per atom
# density of states at the Fermi level	2.8	states/eV/f.u.
# energy above the lowest structure with this stoichiometry	5	meV per atom
data_SrZnTc
_chemical_formula_sum 'Sr2 Zn2 Tc2'
_cell_length_a 4.2928
_cell_length_b 4.2928
_cell_length_c 10.1507
_cell_angle_alpha 90.00
_cell_angle_beta 90.00
_cell_angle_gamma 120.00
_symmetry_space_group_name_H-M 'P -3 m 1'
_symmetry_Int_Tables_number 164
_symmetry_space_group_name_Hall '-P 3 2"'
loop_
_atom_site_label
_atom_site_type_symbol
_atom_site_fract_x
_atom_site_fract_y
_atom_site_fract_z
Sr1 Sr 0.3333 0.6667 0.1853
Zn1 Zn 0.0000 0.0000 0.3751
Tc1 Tc 0.3333 0.6667 0.5232